(1)
VASP calculation (PBE) on crystalline Pm4Ho4Mg at its relaxed geometry.

* density: 7.37 g cm⁻³
* formation enthalpy at 0 K: 0.018 eV/atom
* electronic total energy: -77.5 eV/cell

Unit cell a=7.9521 b=7.0928 c=12.8176 alpha=114.61 beta=71.73 gamma=77.10
Last column: nearest neighbours and their distance in Å.
Fractional coordinates of all 18 atoms:
Ho1 0.2772 0.4764 0.5580  6 Pm 3.49-3.57, 5 Ho 3.52-3.61, 1 Mg 3.56
Ho2 0.1741 0.5821 0.3313  1 Mg 3.47, 4 Ho 3.51-3.61, 7 Pm 3.54-3.60
Ho3 0.6115 0.1388 0.2221  5 Ho 3.51-3.57, 5 Pm 3.53-3.57, 2 Mg 3.54-3.56
Ho4 0.3885 0.8612 0.7779  5 Ho 3.51-3.57, 5 Pm 3.53-3.57, 2 Mg 3.54-3.56
Ho5 0.4999 0.2469 0.9995  5 Ho 3.51-3.59, 5 Pm 3.53-3.57, 2 Mg 3.55
Ho6 0.7228 0.5236 0.4420  6 Pm 3.49-3.57, 5 Ho 3.52-3.61, 1 Mg 3.56
Ho7 0.5001 0.7531 0.0005  5 Ho 3.51-3.59, 5 Pm 3.53-3.57, 2 Mg 3.55
Ho8 0.8259 0.4179 0.6687  1 Mg 3.47, 4 Ho 3.51-3.61, 7 Pm 3.54-3.60
Mg1 0.6072 0.6384 0.2221  6 Ho 3.47-3.56, 6 Pm 3.54-3.59
Mg2 0.3928 0.3616 0.7779  6 Ho 3.47-3.56, 6 Pm 3.54-3.59
Pm1 0.9449 0.3034 0.8903  6 Pm 3.52-3.58, 4 Ho 3.53-3.59, 2 Mg 3.54-3.59
Pm2 0.0551 0.6966 0.1097  6 Pm 3.52-3.58, 4 Ho 3.53-3.59, 2 Mg 3.54-3.59
Pm3 0.0564 0.1955 0.1144  6 Ho 3.49-3.57, 5 Pm 3.51-3.62, 1 Mg 3.58
Pm4 0.2788 0.9712 0.5568  6 Ho 3.52-3.60, 4 Pm 3.55-3.58, 2 Mg 3.55-3.57
Pm5 0.8351 0.9128 0.6654  4 Pm 3.51-3.58, 7 Ho 3.52-3.57, 1 Mg 3.55
Pm6 0.7212 0.0288 0.4432  6 Ho 3.52-3.60, 4 Pm 3.55-3.58, 2 Mg 3.55-3.57
Pm7 0.9436 0.8045 0.8856  6 Ho 3.49-3.57, 5 Pm 3.51-3.62, 1 Mg 3.58
Pm8 0.1649 0.0872 0.3346  4 Pm 3.51-3.58, 7 Ho 3.52-3.57, 1 Mg 3.55

=====

(2)
VASP calculation (PBE) on crystalline Pm2HoMg8 at its relaxed geometry.

* density: 3.66 g cm⁻³
* formation enthalpy at 0 K: 0.038 eV/atom
* electronic total energy: -26.4 eV/cell

Unit cell a=5.2608 b=7.5647 c=8.7187 alpha=115.71 beta=107.56 gamma=90.00
Last column: nearest neighbours and their distance in Å.
Fractional coordinates of all 11 atoms:
Pm1 0.2068 0.7068 0.4136  10 Mg 3.21-3.45
Pm2 0.7932 0.2932 0.5864  10 Mg 3.21-3.45
Ho1 0.5000 0.0000 0.0000  4 Mg 3.03
Mg1 0.0000 0.2892 0.0000  7 Mg 3.16-3.31, 2 Ho 3.42, 2 Pm 3.45
Mg2 0.8460 0.8460 0.6920  8 Mg 3.16-3.49, 2 Pm 3.34, 2 Ho 3.48
Mg3 0.1540 0.1540 0.3080  8 Mg 3.16-3.49, 2 Pm 3.34, 2 Ho 3.48
Mg4 0.0000 0.7108 0.0000  7 Mg 3.16-3.31, 2 Ho 3.42, 2 Pm 3.45
Mg5 0.3643 0.1647 0.7286  3 Mg 3.02-3.31, 1 Ho 3.03, 3 Pm 3.21-3.26
Mg6 0.6357 0.8353 0.2714  3 Mg 3.02-3.31, 1 Ho 3.03, 3 Pm 3.21-3.26
Mg7 0.6357 0.4361 0.2714  3 Mg 3.02-3.31, 1 Ho 3.03, 3 Pm 3.21-3.26
Mg8 0.3643 0.5639 0.7286  3 Mg 3.02-3.31, 1 Ho 3.03, 3 Pm 3.21-3.26

=====

(3)
VASP calculation (PBE) on crystalline Pm15Ho2Mg2 at its relaxed geometry.

* density: 6.57 g cm⁻³
* formation enthalpy at 0 K: 0.229 eV/atom
* electronic total energy: -79.3 eV/cell

Unit cell a=8.7632 b=8.7632 c=8.7632 alpha=80.02 beta=80.02 gamma=80.02
Last column: nearest neighbours and their distance in Å.
Fractional coordinates of all 19 atoms:
Mg1 0.9072 0.9072 0.9072  1 Mg 3.27, 3 Pm 3.50
Mg2 0.0928 0.0928 0.0928  1 Mg 3.27, 3 Pm 3.50
Pm1 0.3693 0.8438 0.3693  6 Pm 3.24-3.37
Pm2 0.0000 0.5000 0.0000  8 Pm 3.37-3.40, 2 Mg 3.50
Pm3 0.7035 0.0000 0.2965  6 Pm 3.34-3.40, 2 Mg 3.72
Pm4 0.0000 0.7035 0.2965  6 Pm 3.34-3.40, 2 Mg 3.72
Pm5 0.0000 0.0000 0.5000  8 Pm 3.37-3.40, 2 Mg 3.50
Pm6 0.3693 0.3693 0.8438  6 Pm 3.24-3.37
Pm7 0.6307 0.1562 0.6307  6 Pm 3.24-3.37
Pm8 0.2965 0.7035 0.0000  6 Pm 3.34-3.40, 2 Mg 3.72
Pm9 0.1562 0.6307 0.6307  6 Pm 3.24-3.37
Pm10 0.8438 0.3693 0.3693  6 Pm 3.24-3.37
Pm11 0.2965 0.0000 0.7035  6 Pm 3.34-3.40, 2 Mg 3.72
Pm12 0.0000 0.2965 0.7035  6 Pm 3.34-3.40, 2 Mg 3.72
Pm13 0.5000 0.0000 0.0000  8 Pm 3.37-3.40, 2 Mg 3.50
Pm14 0.7035 0.2965 0.0000  6 Pm 3.34-3.40, 2 Mg 3.72
Pm15 0.6307 0.6307 0.1562  6 Pm 3.24-3.37
Ho1 0.3161 0.3161 0.3161  1 Mg 3.93, 15 Pm 3.99-4.18
Ho2 0.6839 0.6839 0.6839  1 Mg 3.93, 15 Pm 3.99-4.18

=====

Repeat the first record exactly.
VASP calculation (PBE) on crystalline Pm4Ho4Mg at its relaxed geometry.

* density: 7.37 g cm⁻³
* formation enthalpy at 0 K: 0.018 eV/atom
* electronic total energy: -77.5 eV/cell

Unit cell a=7.9521 b=7.0928 c=12.8176 alpha=114.61 beta=71.73 gamma=77.10
Last column: nearest neighbours and their distance in Å.
Fractional coordinates of all 18 atoms:
Ho1 0.2772 0.4764 0.5580  6 Pm 3.49-3.57, 5 Ho 3.52-3.61, 1 Mg 3.56
Ho2 0.1741 0.5821 0.3313  1 Mg 3.47, 4 Ho 3.51-3.61, 7 Pm 3.54-3.60
Ho3 0.6115 0.1388 0.2221  5 Ho 3.51-3.57, 5 Pm 3.53-3.57, 2 Mg 3.54-3.56
Ho4 0.3885 0.8612 0.7779  5 Ho 3.51-3.57, 5 Pm 3.53-3.57, 2 Mg 3.54-3.56
Ho5 0.4999 0.2469 0.9995  5 Ho 3.51-3.59, 5 Pm 3.53-3.57, 2 Mg 3.55
Ho6 0.7228 0.5236 0.4420  6 Pm 3.49-3.57, 5 Ho 3.52-3.61, 1 Mg 3.56
Ho7 0.5001 0.7531 0.0005  5 Ho 3.51-3.59, 5 Pm 3.53-3.57, 2 Mg 3.55
Ho8 0.8259 0.4179 0.6687  1 Mg 3.47, 4 Ho 3.51-3.61, 7 Pm 3.54-3.60
Mg1 0.6072 0.6384 0.2221  6 Ho 3.47-3.56, 6 Pm 3.54-3.59
Mg2 0.3928 0.3616 0.7779  6 Ho 3.47-3.56, 6 Pm 3.54-3.59
Pm1 0.9449 0.3034 0.8903  6 Pm 3.52-3.58, 4 Ho 3.53-3.59, 2 Mg 3.54-3.59
Pm2 0.0551 0.6966 0.1097  6 Pm 3.52-3.58, 4 Ho 3.53-3.59, 2 Mg 3.54-3.59
Pm3 0.0564 0.1955 0.1144  6 Ho 3.49-3.57, 5 Pm 3.51-3.62, 1 Mg 3.58
Pm4 0.2788 0.9712 0.5568  6 Ho 3.52-3.60, 4 Pm 3.55-3.58, 2 Mg 3.55-3.57
Pm5 0.8351 0.9128 0.6654  4 Pm 3.51-3.58, 7 Ho 3.52-3.57, 1 Mg 3.55
Pm6 0.7212 0.0288 0.4432  6 Ho 3.52-3.60, 4 Pm 3.55-3.58, 2 Mg 3.55-3.57
Pm7 0.9436 0.8045 0.8856  6 Ho 3.49-3.57, 5 Pm 3.51-3.62, 1 Mg 3.58
Pm8 0.1649 0.0872 0.3346  4 Pm 3.51-3.58, 7 Ho 3.52-3.57, 1 Mg 3.55

=====

- The highest formation enthalpy at 0 K belongs to which entry?
  Pm15Ho2Mg2